Here is a geometry-optimized NiIrBr6 structure from Alexandria. Energies are from PBE.

Unit cell a=6.960 b=6.583 c=6.583 alpha=116.69 beta=104.26 gamma=104.26
Last column: magnetic moment on the atom in μB.
Fractional positions:
Ni 0.000 0.000 0.000  0.16
Ir 0.500 0.500 0.500  0.14
Br 0.765 0.624 0.915  0.01
Br 0.765 0.915 0.624  0.01
Br 0.235 0.085 0.376  0.01
Br 0.235 0.376 0.085  0.01
Br 0.710 0.293 0.293  0.03
Br 0.290 0.707 0.707  0.03

Computed properties:
uncorrected energy: -3.278 eV per atom
crystal system: monoclinic
symmetry: C2/m (12)

Here is a geometry-optimized Ca16Mg12Cu structure from Alexandria. Energies are from PBE.

Unit cell a=10.586 b=10.586 c=10.578 alpha=108.85 beta=108.85 gamma=108.97
Fractional positions:
Ca 0.418 0.418 0.317
Ca 0.008 0.008 0.014
Ca 0.988 0.988 0.653
Ca 0.293 0.293 0.700
Ca 0.656 0.428 0.026
Ca 0.582 0.289 0.591
Ca 0.995 0.683 0.408
Ca 0.985 0.641 0.999
Ca 0.716 0.310 0.308
Ca 0.402 0.993 0.681
Ca 0.993 0.402 0.681
Ca 0.310 0.716 0.308
Ca 0.641 0.985 0.999
Ca 0.683 0.995 0.408
Ca 0.289 0.582 0.591
Ca 0.428 0.656 0.026
Mg 0.825 0.825 0.201
Mg 0.641 0.641 0.827
Mg 0.342 0.153 0.976
Mg 0.813 0.634 0.627
Mg 0.182 0.995 0.357
Mg 0.365 0.990 0.173
Mg 0.178 0.800 0.816
Mg 0.800 0.178 0.816
Mg 0.990 0.365 0.173
Mg 0.995 0.182 0.357
Mg 0.634 0.813 0.627
Mg 0.153 0.342 0.976
Cu 0.696 0.696 0.367

Computed properties:
formation energy: -0.0281 eV per atom
crystal system: monoclinic
symmetry: Cm (8)

Here is a geometry-optimized KIr2Cl structure from Alexandria. Energies are from PBE.

Unit cell a=2.798 b=3.949 c=8.367 alpha=90.00 beta=90.00 gamma=90.00
Last column: magnetic moment on the atom in μB.
Fractional positions:
K 0.000 0.000 0.511  0.00
Ir 0.000 0.000 0.087  0.00
Ir 0.500 0.500 0.181  0.00
Cl 0.500 0.500 0.721  0.05

Computed properties:
E above lowest polymorph: 24 meV/atom
crystal system: orthorhombic
symmetry: Pmm2 (25)

Here is a geometry-optimized ErAuBr structure from Alexandria. Energies are from PBE.

Unit cell a=4.150 b=5.722 c=9.765 alpha=123.66 beta=115.15 gamma=89.99
Fractional positions:
Br 0.729 0.727 0.979
Br 0.271 0.273 0.021
Er 0.045 0.678 0.295
Er 0.955 0.322 0.705
Au 0.777 0.698 0.527
Au 0.223 0.302 0.473

Computed properties:
uncorrected energy: -4.227 eV per atom
crystal system: monoclinic
symmetry: P2_1/m (11)

Here is a geometry-optimized BaTlBr2 structure from Alexandria. Energies are from PBE.

Unit cell a=5.771 b=5.771 c=5.771 alpha=60.00 beta=60.00 gamma=60.00
Fractional positions:
Tl 0.500 0.500 0.500
Ba 0.000 0.000 0.000
Br 0.250 0.250 0.250
Br 0.750 0.750 0.750

Computed properties:
E above lowest polymorph: 73 meV/atom
crystal system: cubic
symmetry: Fm-3m (225)

Here is a geometry-optimized NaMnTeN2 structure from Alexandria. Energies are from PBE.

Unit cell a=3.767 b=3.767 c=5.511 alpha=90.00 beta=90.00 gamma=90.00
Fractional positions:
Na 0.500 0.500 0.500
Te 0.000 0.000 0.500
Mn 0.000 0.000 0.000
N 0.000 0.500 0.000
N 0.500 0.000 0.000

Computed properties:
E above lowest polymorph: 0 meV/atom
crystal system: tetragonal
symmetry: P4/mmm (123)

Here is a geometry-optimized KPbI3 structure from Alexandria. Energies are from PBE.

Unit cell a=5.651 b=8.784 c=11.908 alpha=103.66 beta=90.00 gamma=90.00
Fractional positions:
K 0.250 0.285 0.592
K 0.750 0.715 0.408
Pb 0.250 0.139 0.160
Pb 0.750 0.861 0.840
I 0.750 0.051 0.654
I 0.750 0.546 0.657
I 0.250 0.949 0.346
I 0.250 0.454 0.343
I 0.250 0.792 0.950
I 0.750 0.208 0.050

Computed properties:
uncorrected energy: -2.824 eV per atom
crystal system: monoclinic
symmetry: P2_1/m (11)

Here is a geometry-optimized SmY2Cd structure from Alexandria. Energies are from PBE.

Unit cell a=3.628 b=3.628 c=9.058 alpha=90.00 beta=90.00 gamma=90.00
Fractional positions:
Y 0.000 0.000 0.778
Y 0.000 0.000 0.222
Sm 0.500 0.500 0.500
Cd 0.500 0.500 0.000

Computed properties:
formation energy: -0.1621 eV per atom
E above lowest polymorph: 0 meV/atom
crystal system: tetragonal
symmetry: P4/mmm (123)